This record from Alexandria describes La2Ni2Au at its PBEsol-relaxed geometry. The functional is meta-GGA SCAN.

## Properties
The total moment comes out at 0.00 μB per cell. The density comes out at 9.8 g/cm³. The total DFT energy (no corrections) is -38.06 eV per atom. As for the volume: 201.5 Å³/cell.

Geometry as POSCAR:
```
La2Ni2Au
1.0
-3.2289 -0.8970 -1.9172
3.0204 -6.1859 -2.1927
-2.5623 -3.3336 5.8752
La Ni Au
4 4 2
Cartesian
-2.8132 -3.8266 2.6410 La
0.0425 -6.5900 -0.8756 La
-1.6630 -7.3878 2.3700 La
-1.1078 -3.0287 -0.6046 La
-1.1072 -5.2815 4.3359 Ni
1.0677 -7.5097 1.7154 Ni
1.5653 -4.2380 -0.6534 Ni
-0.6096 -2.0099 1.9671 Ni
0.2291 -4.7598 1.8413 Au
0.0000 0.0000 0.0000 Au
```

=====

This record from Alexandria describes LaNiPd2Au at its PBEsol-relaxed geometry. The functional is meta-GGA SCAN.

## Properties
The total moment comes out at 0.00 μB per cell. The density comes out at 10.1 g/cm³. The total DFT energy (no corrections) is -39.01 eV per atom. As for the volume: 100.1 Å³/cell.

Geometry as POSCAR:
```
LaNiPd2Au
1.0
-0.6738 0.1272 4.5806
-3.5904 -2.8914 -0.4478
2.8695 -3.6443 0.5233
Ni Pd Au La
1 2 1 1
Cartesian
0.0000 0.0000 0.0000 Ni
-1.7952 -1.4457 -0.2239 Pd
-0.3369 0.0636 2.2903 Pd
1.4347 -1.8221 0.2616 Au
-0.6974 -3.2042 2.3280 La
```

=====

This record from Alexandria describes LaAuO3 at its PBEsol-relaxed geometry. The functional is meta-GGA SCAN.

## Properties
The total moment comes out at 0.00 μB per cell. The density comes out at 8.6 g/cm³. The total DFT energy (no corrections) is -28.35 eV per atom. The value obtained for the raw formation energy is -2.161 eV/atom. As for the volume: 295.6 Å³/cell.

Geometry as POSCAR:
```
LaAuO3
1.0
4.0090 0.0000 0.0000
0.0000 5.6701 0.0000
0.0000 0.0000 13.0043
O Au La
12 4 4
Cartesian
2.9781 5.6434 7.5328 O
1.0308 0.0267 5.4715 O
0.7003 0.0000 9.7532 O
2.9781 0.0267 11.9737 O
1.0308 5.6434 1.0306 O
2.9781 2.8083 11.9737 O
0.7003 2.8351 9.7532 O
3.3087 0.0000 3.2511 O
1.0308 2.8618 1.0306 O
2.9781 2.8618 7.5328 O
1.0308 2.8083 5.4715 O
3.3087 2.8351 3.2511 O
0.2789 1.4175 4.2861 Au
0.2789 4.2526 2.2161 Au
3.7301 1.4175 10.7882 Au
3.7301 4.2526 8.7182 Au
1.0578 4.2526 11.9491 La
2.9512 1.4175 1.0552 La
2.9512 4.2526 5.4470 La
1.0578 1.4175 7.5573 La
```

=====

This record from Alexandria describes LaOs2Au at its PBEsol-relaxed geometry. The functional is meta-GGA SCAN.

## Properties
For the energy above the most stable polymorph in this dataset, the calculation gives 0.000 eV per atom. The total moment comes out at 0.00 μB per cell. The density comes out at 16.1 g/cm³. The total DFT energy (no corrections) is -63.54 eV per atom. As for the volume: 73.8 Å³/cell.

Geometry as POSCAR:
```
LaOs2Au
1.0
-1.9634 -0.1278 -2.2202
-1.5188 -4.3396 1.5928
-1.7416 4.5344 3.2611
Os Au La
2 1 1
Cartesian
-4.9969 -0.0828 2.4417 Os
-2.5863 -0.9629 2.3425 Os
-1.9201 -2.1154 -0.1622 Au
-2.6854 1.0616 0.3317 La
```

=====

This record from Alexandria describes LaOsAu at its PBEsol-relaxed geometry. The functional is meta-GGA SCAN.

## Properties
The total moment comes out at 0.00 μB per cell. The density comes out at 12.9 g/cm³. The total DFT energy (no corrections) is -61.60 eV per atom. As for the volume: 67.5 Å³/cell.

Geometry as POSCAR:
```
LaOsAu
1.0
4.0215 0.0000 0.0000
0.0000 4.4034 0.0000
0.0000 -2.2017 3.8135
La Os Au
1 1 1
Cartesian
0.0000 0.0000 2.5423 La
2.0107 2.2017 1.2712 Os
2.0107 0.0000 0.0000 Au
```

=====

This record from Alexandria describes LaOs2Au at its PBEsol-relaxed geometry. The functional is meta-GGA SCAN.

## Properties
For the energy above the most stable polymorph in this dataset, the calculation gives 0.339 eV per atom. The total moment comes out at 0.00 μB per cell. The density comes out at 16.7 g/cm³. The total DFT energy (no corrections) is -63.20 eV per atom. As for the volume: 71.4 Å³/cell.

Geometry as POSCAR:
```
LaOs2Au
1.0
-0.0798 -1.9125 -2.2011
2.4443 -1.2445 0.9927
-4.5722 -5.2258 4.7064
Au Os La
1 2 1
Cartesian
1.1822 -1.5785 -0.6042 Au
-0.9878 -1.1290 1.0168 Os
-3.5844 -4.0968 3.6896 Os
-1.1038 -4.1914 1.7490 La
```

=====

This record from Alexandria describes LaP2Au at its PBEsol-relaxed geometry. The functional is meta-GGA SCAN.

## Properties
The total moment comes out at 0.00 μB per cell. The density comes out at 8.2 g/cm³. The total DFT energy (no corrections) is -33.54 eV per atom. As for the volume: 80.6 Å³/cell.

Geometry as POSCAR:
```
LaP2Au
1.0
4.8487 0.0000 0.0000
2.4244 4.1991 0.0000
2.4244 1.3997 3.9589
Au La P
1 1 2
Cartesian
4.8487 2.7994 1.9795 Au
2.4244 1.3997 0.9897 La
0.0000 0.0000 0.0000 P
7.2731 4.1991 2.9692 P
```

=====

This record from Alexandria describes LaP3Au at its PBEsol-relaxed geometry. The functional is meta-GGA SCAN.

## Properties
The total moment comes out at 0.00 μB per cell. The density comes out at 4.8 g/cm³. The total DFT energy (no corrections) is -27.36 eV per atom. As for the volume: 147.4 Å³/cell.

Geometry as POSCAR:
```
LaP3Au
1.0
-2.7699 4.4470 0.6793
-2.8254 -2.3405 3.8012
3.5007 1.6297 3.6054
P La Au
3 1 1
Cartesian
-1.3849 2.2235 0.3397 P
-1.4127 -1.1702 1.9006 P
1.7504 0.8148 1.8027 P
0.0000 0.0000 0.0000 La
-1.0473 1.8681 4.0430 Au
```